No. 1
Compound: ZnIr2Br
Source: Alexandria
Functional: GGA-PBE
Structure: relaxed

Properties
distance to the lowest polymorph of the same formula	0.518	eV/atom

Unit cell a=3.547 b=4.210 c=4.210 alpha=90.00 beta=90.00 gamma=90.00
Atoms (fractional coordinates):
Br: 0.500 0.000 0.500
Ir: 0.000 0.000 0.000
Ir: 0.000 0.500 0.500
Zn: 0.500 0.500 0.000


No. 2
Compound: ZnIrBr4
Source: Alexandria
Functional: GGA-PBE
Structure: relaxed

Unit cell a=6.130 b=6.130 c=6.130 alpha=60.00 beta=60.00 gamma=60.00
Atoms (fractional coordinates):
Zn: 0.000 0.000 0.000
Ir: 0.750 0.750 0.750
Br: 0.871 0.376 0.376
Br: 0.376 0.376 0.871
Br: 0.376 0.871 0.376
Br: 0.376 0.376 0.376


| no. | formation energy without anion corrections (meV/atom) | total DFT energy (no corrections) (eV for the cell shown) | magnetic moment (μB/f.u.) |
| --- | --- | --- | --- |
| 1 | 790 | -17.51 | 0.000 |
| 2 | 1415 | -8.33 | 2.006 |